! GGA-PBE Sr3Hg2Pb4, optimized geometry; values from VASP
&SYSTEM
  ibrav = 0, nat = 9, ntyp = 3
/
ATOMIC_SPECIES
Sr 87.62 Sr.upf
Hg 200.59 Hg.upf
Pb 207.20 Pb.upf
ATOMIC_POSITIONS crystal
Sr 0.0000 0.0000 0.0000
Sr 0.3164 0.3164 0.3671
Sr 0.6836 0.6836 0.6329
Hg 0.4077 0.4077 0.7427
Hg 0.5923 0.5923 0.2573
Pb 0.0213 0.0213 0.3599
Pb 0.2573 0.2573 0.9116
Pb 0.7427 0.7427 0.0884
Pb 0.9787 0.9787 0.6401
CELL_PARAMETERS angstrom
6.3227 -2.5233 0.0000
6.3227 2.5233 0.0000
-5.5800 0.0000 9.3936
! **Magnetic moment**: 0.0000 μB per atom
! **E**: -24.0 eV for the cell shown
! **Crystal system**: monoclinic
! **E_form**: -0.392 eV/atom

---

! GGA-PBE SrHgPb, optimized geometry; values from VASP
&SYSTEM
  ibrav = 0, nat = 12, ntyp = 3
/
ATOMIC_SPECIES
Sr 87.62 Sr.upf
Hg 200.59 Hg.upf
Pb 207.20 Pb.upf
ATOMIC_POSITIONS crystal
Sr 0.1039 0.0000 0.2512
Sr 0.3961 0.5000 0.7488
Sr 0.6039 0.5000 0.2512
Sr 0.8961 0.0000 0.7488
Hg 0.2478 0.0000 0.7520
Hg 0.2522 0.5000 0.2480
Hg 0.7478 0.5000 0.7520
Hg 0.7522 0.0000 0.2480
Pb 0.0771 0.5000 0.7510
Pb 0.4229 0.0000 0.2490
Pb 0.5771 0.0000 0.7510
Pb 0.9229 0.5000 0.2490
CELL_PARAMETERS angstrom
14.5736 0.0000 0.0000
0.0000 5.0912 0.0000
-0.0291 0.0000 5.0927
! **Magnetic moment**: 0.0000 μB per atom
! **E**: -28.0 eV for the cell shown
! **Crystal system**: monoclinic
! **E_form**: -0.437 eV/atom

---

! GGA-PBE Sr12Hg6Pb, optimized geometry; values from VASP
&SYSTEM
  ibrav = 0, nat = 19, ntyp = 3
/
ATOMIC_SPECIES
Sr 87.62 Sr.upf
Hg 200.59 Hg.upf
Pb 207.20 Pb.upf
ATOMIC_POSITIONS crystal
Sr 0.1105 0.2912 0.8193
Sr 0.1807 0.4719 0.2912
Sr 0.1807 0.8895 0.7088
Sr 0.2912 0.1807 0.4719
Sr 0.2912 0.8193 0.1105
Sr 0.4719 0.2912 0.1807
Sr 0.5281 0.7088 0.8193
Sr 0.7088 0.1807 0.8895
Sr 0.7088 0.8193 0.5281
Sr 0.8193 0.1105 0.2912
Sr 0.8193 0.5281 0.7088
Sr 0.8895 0.7088 0.1807
Hg 0.1331 0.5000 0.6331
Hg 0.3669 0.8669 0.5000
Hg 0.5000 0.3669 0.8669
Hg 0.5000 0.6331 0.1331
Hg 0.6331 0.1331 0.5000
Hg 0.8669 0.5000 0.3669
Pb 0.0000 0.0000 0.0000
CELL_PARAMETERS angstrom
-5.7039 5.7039 5.7039
5.7039 -5.7039 5.7039
5.7039 5.7039 -5.7039
! **Magnetic moment**: 0.0000 μB per atom
! **E**: -33.1 eV for the cell shown
! **Crystal system**: cubic
! **E_form**: -0.389 eV/atom

---

! GGA-PBE Sr3Hg2Pb3, optimized geometry; values from VASP
&SYSTEM
  ibrav = 0, nat = 16, ntyp = 3
/
ATOMIC_SPECIES
Sr 87.62 Sr.upf
Hg 200.59 Hg.upf
Pb 207.20 Pb.upf
ATOMIC_POSITIONS crystal
Sr 0.0938 0.9062 0.6100
Sr 0.0938 0.9062 0.8900
Sr 0.3619 0.6381 0.7500
Sr 0.6381 0.3619 0.2500
Sr 0.9062 0.0938 0.1100
Sr 0.9062 0.0938 0.3900
Hg 0.1910 0.8090 0.1126
Hg 0.1910 0.8090 0.3874
Hg 0.8090 0.1910 0.6126
Hg 0.8090 0.1910 0.8874
Pb 0.3510 0.6490 0.2500
Pb 0.3754 0.6246 0.5299
Pb 0.3754 0.6246 0.9701
Pb 0.6246 0.3754 0.0299
Pb 0.6246 0.3754 0.4701
Pb 0.6490 0.3510 0.7500
CELL_PARAMETERS angstrom
2.5759 -6.0422 0.0000
2.5759 6.0422 0.0000
0.0000 0.0000 16.9347
! **Magnetic moment**: 0.0000 μB per atom
! **E**: -41.1 eV for the cell shown
! **Crystal system**: orthorhombic
! **E_form**: -0.474 eV/atom